## Nd6HoEr12 (PBE)

Data for crystalline Nd6HoEr12 at its relaxed geometry.

```
Nd6HoEr12
1.0
8.619 -0.151 -1.183
-1.336 8.516 -1.183
-0.131 -0.151 8.699
Nd Ho Er
6 1 12
Cartesian
7.203 2.656 6.378
6.530 7.500 0.855
1.639 7.500 6.378
0.622 0.715 5.478
-0.051 5.559 -0.045
5.513 0.715 -0.045
0.000 0.000 0.000
6.128 1.886 3.167
2.905 0.588 2.572
2.575 2.958 -0.130
6.970 5.256 3.761
4.577 5.256 6.463
4.247 7.627 3.761
3.267 6.329 0.634
1.333 4.107 5.700
1.024 6.329 3.167
3.885 1.886 5.700
5.819 4.107 0.634
0.182 2.958 2.572
```

Summary:
Space group: R-3m, No. 166
Size of the total moment, μB per formula unit: 0.0
Total DFT energy (no corrections), eV per atom: -4.4095

***

## Nd5Ho4Er2 (PBE)

Data for crystalline Nd5Ho4Er2 at its relaxed geometry.

```
Nd5Ho4Er2
1.0
0.430 2.316 -2.655
5.009 -8.291 -6.420
-8.350 -2.968 -1.570
Nd Ho Er
5 4 2
Cartesian
-4.011 -4.151 -6.643
1.101 -4.793 -4.002
-0.389 -7.717 -9.166
0.215 1.158 -1.328
-2.522 -1.227 -1.479
-4.818 -3.004 -3.401
-3.630 -6.652 -8.763
1.907 -5.940 -7.244
0.719 -2.292 -1.882
-1.529 -2.543 -4.838
-1.382 -6.401 -5.807
```

Summary:
Space group: C2/m, No. 12
Size of the total moment, μB per formula unit: 0.0
Total DFT energy (no corrections), eV per atom: -4.5858

***

## NdHo4Er2 (PBE)

Data for crystalline NdHo4Er2 at its relaxed geometry.

```
NdHo4Er2
1.0
6.075 0.000 -0.394
0.000 6.528 0.000
-2.565 0.000 11.298
Nd Ho Er
2 8 4
Cartesian
0.738 4.896 1.477
2.772 1.632 9.427
3.131 3.213 3.015
3.839 4.896 9.058
-0.329 1.632 1.846
3.131 0.051 3.015
3.753 1.632 6.165
0.379 6.477 7.889
0.379 3.315 7.889
-0.243 4.896 4.738
3.697 4.896 -0.163
-0.187 1.632 11.067
0.649 1.632 4.956
2.861 4.896 5.948
```

Summary:
Space group: P2_1/m, No. 11
Size of the total moment, μB per formula unit: 0.0
Total DFT energy (no corrections), eV per atom: -4.4715

***

## Nd4HoEr15 (PBE)

Data for crystalline Nd4HoEr15 at its relaxed geometry.

```
Nd4HoEr15
1.0
-0.733 -0.606 4.923
-4.261 -2.471 -0.939
12.650 -21.518 -0.766
Nd Ho Er
4 1 15
Cartesian
2.521 -4.288 -0.153
5.054 -8.597 -0.306
7.596 -12.921 -0.460
10.130 -17.230 -0.614
0.000 0.000 0.000
-2.497 -1.539 1.992
0.017 -5.815 1.840
2.559 -10.139 1.686
5.097 -14.456 1.532
7.640 -18.781 1.378
0.877 -2.419 2.386
3.419 -6.742 2.232
5.959 -11.062 2.079
8.499 -15.382 1.925
11.040 -19.705 1.771
-0.886 -3.352 -0.545
1.655 -7.674 -0.699
4.195 -11.995 -0.853
6.735 -16.315 -1.006
9.276 -20.637 -1.160
```

Summary:
Space group: P4/mmm, No. 123
Size of the total moment, μB per formula unit: 0.0
Total DFT energy (no corrections), eV per atom: -4.5811

***

## Nd3Ho7Er (PBE)

Data for crystalline Nd3Ho7Er at its relaxed geometry.

```
Nd3Ho7Er
1.0
8.345 -0.825 -2.858
-2.297 9.840 -0.636
-1.873 -0.103 5.182
Nd Ho Er
3 7 1
Cartesian
-1.832 9.541 2.460
-1.149 4.920 -0.318
6.006 -0.629 -0.771
3.937 7.320 1.573
4.745 5.553 -1.101
4.412 2.303 -1.287
-0.238 6.609 2.976
3.236 -0.464 1.162
-0.571 3.359 2.790
0.237 1.592 0.116
2.087 4.456 0.844
```

Summary:
Space group: P2/m, No. 10
Size of the total moment, μB per formula unit: 0.0
Total DFT energy (no corrections), eV per atom: -4.4797

***

## Nd2Ho5Er12 (PBE)

Data for crystalline Nd2Ho5Er12 at its relaxed geometry.

```
Nd2Ho5Er12
1.0
5.900 1.581 -0.179
-1.397 8.485 -6.168
-0.199 -1.869 12.568
Nd Ho Er
2 5 12
Cartesian
2.079 6.532 4.945
2.225 1.665 1.276
0.775 3.393 3.981
-0.049 5.803 -2.589
-0.100 -0.934 6.284
4.352 2.393 8.810
3.529 4.803 2.240
5.385 1.842 2.837
-0.667 5.124 6.693
2.696 7.181 -4.317
0.362 4.623 0.684
3.108 6.006 -1.047
1.660 7.750 1.654
2.644 0.447 4.566
3.942 3.573 5.536
1.196 2.190 7.267
4.970 3.072 -0.473
1.608 1.016 10.538
-1.081 6.355 3.384
```

Summary:
Space group: P-1, No. 2
Size of the total moment, μB per formula unit: 0.0
Total DFT energy (no corrections), eV per atom: -4.5656